The following is a GGA+U calculation of a relaxed structure of CrFeCoO2, from Alexandria.

Properties
M_tot: 3.21 Bohr magnetons per cell
uncorrected energy: -27.78 eV for the cell shown

a = 3.7039 Å, b = 5.3393 Å, c = 3.7039 Å
α = 90.00°, β = 90.00°, γ = 90.00°
Last column: nearest neighbours and their distance in Å.
Fractional coordinates of all 5 atoms:
Cr 0.0000 0.0000 0.0000  4 O 1.85
O 0.0000 0.0000 0.5000  2 Cr 1.85
O 0.5000 0.0000 0.0000  2 Cr 1.85
Co 0.5000 0.5000 0.5000  4 Fe 2.62
Fe 0.0000 0.5000 0.0000  4 Co 2.62, 2 Cr 2.67